Si3P: optimized geometry, GGA-PBE.

a = 3.5050 Å, b = 3.5050 Å, c = 17.7909 Å
α = 90.00°, β = 90.00°, γ = 120.00°
Space group R-3m (No. 166, hexagonal axes)
Unique sites:
Si  0.0000  0.0000  0.0000
Si  0.0000  0.0000  0.2481
P  0.0000  0.0000  0.5000

Results
volume	189	Å³/cell
E above lowest polymorph	0	kJ/mol of formula units

***

Si23P3: optimized geometry, GGA-PBE.

a = 10.160 Å, b = 10.160 Å, c = 10.160 Å
α = 90.00°, β = 90.00°, γ = 90.00°
Space group Pm-3n (No. 223)
Unique sites:
Si  0.000  0.117  0.310
Si  0.000  0.250  0.500
Si  0.184  0.184  0.184
P  0.000  0.500  0.250

Results
volume	1049	Å³/cell

***

SiP2: optimized geometry, GGA-PBE.

a = 10.437 Å, b = 3.333 Å, c = 7.839 Å
α = 90.00°, β = 131.61°, γ = 90.00°
Space group C2/m (No. 12)
Unique sites:
Si  0.159  0.000  0.318
P  0.055  0.500  0.812
P  0.243  0.500  0.187

Results
volume	204	Å³/cell
E above lowest polymorph	104	kJ/mol of formula units

***

SiP2: optimized geometry, GGA-PBE.

a = 4.8906 Å, b = 4.8906 Å, c = 10.0871 Å
α = 90.00°, β = 90.00°, γ = 120.00°
Space group P6_3/mmc (No. 194)
Unique sites:
Si  0.3333  0.6667  0.0565
P  0.0000  0.0000  0.0000
P  0.1540  0.3080  0.2500

Results
volume	209	Å³/cell
E above lowest polymorph	212	kJ/mol of formula units

***

Formation energy from raw total energies
In order: 0.230; 0.376; 0.233; 0.607
Unit: eV/atom
DOS at the Fermi energy
In order: 3.86; 19.77; 2.24; 7.89
Unit: states/eV per cell